Entry 1:
Density functional theory data (PBE-GGA) for a relaxed structure of BaLa2Ag2Pb2.

Output
Size of the total moment ... 0.000 μB/atom
Space-group type ... R-3m (166)
DFT formation energy ... -0.415 eV per atom

Cell lengths 5.086, 5.086, 10.248 Å; angles 75.63, 75.63, 60.00 degrees
Fractional coordinates of all 7 atoms:
Ag: 0.556 0.556 0.332
Ag: 0.444 0.444 0.668
Pb: 0.258 0.258 0.227
Pb: 0.742 0.742 0.773
Ba: 0.000 0.000 0.000
La: 0.859 0.859 0.423
La: 0.141 0.141 0.577

Entry 2:
Density functional theory data (PBE-GGA) for a relaxed structure of LiCoTc2.

Output
Size of the total moment ... 0.177 μB/atom
Space-group type ... Immm (71)
E above lowest polymorph ... 0.0397 eV per atom
DFT formation energy ... 0.217 eV per atom

Cell lengths 4.826, 4.826, 4.826 Å; angles 142.65, 130.43, 63.67 degrees
Site moments in Bohr magnetons follow the coordinates.
Fractional coordinates of all 4 atoms:
Li: 0.250 0.750 0.500  -0.01
Tc: 0.502 0.502 0.000  0.01
Tc: 0.998 0.998 0.000  0.01
Co: 0.750 0.250 0.500  0.72

Entry 3:
Density functional theory data (PBE-GGA) for a relaxed structure of Pu6SbSe5.

Output
Size of the total moment ... 2.843 μB/atom
Formation energy without anion corrections ... -16.466 eV/f.u.
Space-group type ... C2/m (12)

Cell lengths 7.287, 7.280, 7.283 Å; angles 60.01, 80.39, 70.48 degrees
Site moments in Bohr magnetons follow the coordinates.
Fractional coordinates of all 12 atoms:
Pu: 0.746 0.740 0.000  5.42
Pu: 0.257 0.570 0.345  5.44
Pu: 0.743 0.430 0.655  5.44
Pu: 0.257 0.914 0.655  5.44
Pu: 0.254 0.260 0.000  5.42
Pu: 0.743 0.086 0.345  5.44
Sb: 0.000 0.000 0.000  -0.12
Se: 0.500 0.162 0.677  -0.10
Se: 0.000 0.333 0.335  -0.10
Se: 0.000 0.667 0.665  -0.10
Se: 0.500 0.500 0.000  -0.10
Se: 0.500 0.838 0.323  -0.10

no.,DOS at the Fermi energy (states/eV/cell),total DFT energy (no corrections) (eV/atom)
1,0.3,-3.9714
2,3.0,-7.2206
3,59.3,-10.3335